Record 1
Entry from Alexandria: a geometry-optimized Zr2TeAs structure (GGA-PBE).

abc: 3.897 3.897 7.281
angles: 74.48 74.48 60.00
Atoms (fractional coordinates):
Zr 0.070 0.070 0.789
Te 0.499 0.499 0.503
Zr 0.263 0.263 0.210
As 0.667 0.667 0.998

VASP energy   -28.774 eV per cell
Theoretical density   7.02 g cm⁻³
Uncorrected formation energy   -0.9716 eV per atom
Density of states at the Fermi level   2.8 states/eV/f.u.
Volume   22.77 Å³ per atom
Spin magnetization   0.0 Bohr magnetons per cell



Record 2
Entry from Alexandria: a geometry-optimized KTm2AgTe4 structure (GGA-PBE).

abc: 4.413 7.758 15.729
angles: 90.00 90.00 106.52
Atoms (fractional coordinates):
K 0.128 0.256 0.750
Tm 0.630 0.261 0.070
Te 0.000 0.000 0.000
Tm 0.370 0.739 0.930
Ag 0.839 0.679 0.750
Te 0.267 0.534 0.397
Te 0.267 0.534 0.103
Te 0.548 0.096 0.250
Te 0.733 0.466 0.897
K 0.872 0.744 0.250
Te 0.452 0.904 0.750
Tm 0.370 0.739 0.570
Ag 0.161 0.321 0.250
Tm 0.630 0.261 0.430
Te 0.000 0.000 0.500
Te 0.733 0.466 0.603

VASP energy   -68.548 eV per cell
Theoretical density   6.40 g cm⁻³
Uncorrected formation energy   -1.1019 eV per atom
Volume   32.27 Å³ per atom
Spin magnetization   0.0 Bohr magnetons per cell



Record 3
Entry from Alexandria: a geometry-optimized Li2ScInBr structure (GGA-PBE).

abc: 5.699 5.858 5.699
angles: 90.00 90.00 90.00
Each line ends with the local moment (μB).
Atoms (fractional coordinates):
Li 0.500 0.000 0.000  0.08
Br 0.500 0.500 0.500  0.03
Sc 0.000 0.000 0.000  1.07
Li 0.000 0.000 0.500  0.06
In 0.000 0.500 0.000  0.14

VASP energy   -11.782 eV per cell
Theoretical density   2.21 g cm⁻³
Uncorrected formation energy   0.5577 eV per atom
Density of states at the Fermi level   12.5 states/eV/f.u.
Volume   38.05 Å³ per atom
Spin magnetization   2.4 Bohr magnetons per cell



Record 4
Entry from Alexandria: a geometry-optimized LiTbYPd structure (GGA-PBE).

abc: 5.048 5.048 5.048
angles: 60.00 60.00 60.00
Atoms (fractional coordinates):
Tb 0.500 0.500 0.500
Pd 0.750 0.750 0.750
Li 0.250 0.250 0.250
Y 0.000 0.000 0.000

VASP energy   -19.824 eV per cell
Theoretical density   6.59 g cm⁻³
Density of states at the Fermi level   2.8 states/eV/f.u.
Volume   22.74 Å³ per atom
Energy of formation from the pure elements   -157 kJ/mol of formula units
Spin magnetization   0.0 Bohr magnetons per cell



Record 5
Entry from Alexandria: a geometry-optimized Hf2Be2Pb structure (GGA-PBE).

abc: 3.793 3.618 6.435
angles: 106.32 90.00 90.00
Atoms (fractional coordinates):
Hf 0.500 0.353 0.705
Hf 0.500 0.647 0.295
Be 0.000 0.207 0.414
Be 0.000 0.793 0.586
Pb 0.000 0.000 0.000

VASP energy   -32.011 eV per cell
Theoretical density   11.41 g cm⁻³
Density of states at the Fermi level   2.3 states/eV/f.u.
Volume   16.95 Å³ per atom
Energy of formation from the pure elements   -91 kJ/mol of formula units
Spin magnetization   0.0 Bohr magnetons per cell



Record 6
Entry from Alexandria: a geometry-optimized SrLaSiHg structure (GGA-PBE).

abc: 5.442 5.442 5.442
angles: 60.00 60.00 60.00
Atoms (fractional coordinates):
Hg 0.250 0.250 0.250
Si 0.750 0.750 0.750
Sr 0.500 0.500 0.500
La 0.000 0.000 0.000

VASP energy   -14.043 eV per cell
Theoretical density   6.63 g cm⁻³
Uncorrected formation energy   -0.4272 eV per atom
Density of states at the Fermi level   3.9 states/eV/f.u.
Volume   28.49 Å³ per atom
Spin magnetization   0.0 Bohr magnetons per cell



Record 7
Entry from Alexandria: a geometry-optimized Tm2Au structure (GGA-PBE).

abc: 4.892 7.022 8.824
angles: 90.00 90.00 90.00
Atoms (fractional coordinates):
Tm 0.750 0.986 0.323
Tm 0.750 0.486 0.177
Tm 0.250 0.149 0.079
Tm 0.250 0.649 0.421
Au 0.250 0.742 0.099
Tm 0.750 0.351 0.579
Au 0.250 0.242 0.401
Tm 0.750 0.851 0.921
Au 0.750 0.758 0.599
Tm 0.250 0.014 0.677
Tm 0.250 0.514 0.823
Au 0.750 0.258 0.901

VASP energy   -56.866 eV per cell
Theoretical density   11.72 g cm⁻³
Density of states at the Fermi level   1.6 states/eV/f.u.
Volume   25.26 Å³ per atom
Energy of formation from the pure elements   -193 kJ/mol of formula units
Spin magnetization   0.0 Bohr magnetons per cell



Record 8
Entry from Alexandria: a geometry-optimized Cs4Ca3AgF12 structure (GGA-PBE).

abc: 7.911 7.911 7.911
angles: 109.47 109.47 109.47
Each line ends with the local moment (μB).
Atoms (fractional coordinates):
F 0.500 0.250 0.750  0.00
F 0.250 0.250 0.000  0.07
Cs 0.500 0.500 0.500  0.00
F 0.000 0.250 0.250  0.07
Cs 0.500 0.000 0.000  0.00
Ca 0.000 0.500 0.500  0.00
F 0.250 0.500 0.750  0.00
F 0.000 0.750 0.750  0.07
Ca 0.500 0.500 0.000  0.00
Ca 0.500 0.000 0.500  0.00
Cs 0.000 0.500 0.000  0.00
F 0.750 0.500 0.250  0.00
Ag 0.000 0.000 0.000  0.56
F 0.250 0.750 0.500  0.00
F 0.750 0.750 0.000  0.07
Cs 0.000 0.000 0.500  0.00
F 0.750 0.250 0.500  0.00
F 0.750 0.000 0.750  0.07
F 0.250 0.000 0.250  0.07
F 0.500 0.750 0.250  0.00

VASP energy   -95.736 eV per cell
Theoretical density   4.30 g cm⁻³
Uncorrected formation energy   -3.0505 eV per atom
Density of states at the Fermi level   6.0 states/eV/f.u.
Volume   19.06 Å³ per atom
Spin magnetization   1.0 Bohr magnetons per cell



Record 9
Entry from Alexandria: a geometry-optimized Y2ErSc3Te6 structure (GGA-PBE).

abc: 4.250 8.542 9.523
angles: 102.97 102.89 90.00
Atoms (fractional coordinates):
Sc 0.831 0.168 0.662
Sc 0.169 0.832 0.338
Te 0.332 0.927 0.663
Y 0.168 0.334 0.336
Te 0.662 0.591 0.325
Te 0.996 0.255 0.993
Te 0.338 0.409 0.675
Te 0.668 0.073 0.337
Sc 0.500 0.500 0.000
Er 0.500 0.000 0.000
Te 0.004 0.745 0.007
Y 0.832 0.666 0.664

VASP energy   -69.587 eV per cell
Theoretical density   6.31 g cm⁻³
Uncorrected formation energy   -1.1876 eV per atom
Density of states at the Fermi level   7.7 states/eV/f.u.
Volume   27.33 Å³ per atom
Spin magnetization   0.0 Bohr magnetons per cell



Record 10
Entry from Alexandria: a geometry-optimized BaTlPd3 structure (GGA-PBE).

abc: 6.070 7.358 7.358
angles: 64.73 65.64 65.64
Atoms (fractional coordinates):
Pd 0.750 0.779 0.721
Ba 0.250 0.675 0.825
Pd 0.638 0.862 0.362
Pd 0.250 0.221 0.279
Tl 0.500 0.000 0.000
Pd 0.138 0.862 0.362
Pd 0.862 0.138 0.638
Pd 0.362 0.138 0.638
Ba 0.750 0.325 0.175
Tl 0.000 0.500 0.500

VASP energy   -42.983 eV per cell
Theoretical density   8.46 g cm⁻³
Density of states at the Fermi level   1.9 states/eV/f.u.
Volume   25.94 Å³ per atom
Energy of formation from the pure elements   -157 kJ/mol of formula units
Spin magnetization   0.0 Bohr magnetons per cell



Record 11
Entry from Alexandria: a geometry-optimized Fe2TcRh structure (GGA-PBE).

abc: 4.960 4.960 4.960
angles: 145.93 129.21 62.58
Each line ends with the local moment (μB).
Atoms (fractional coordinates):
Rh 0.509 0.509 0.000  0.34
Fe 0.764 0.264 0.500  2.51
Fe 0.990 0.990 0.000  2.51
Tc 0.237 0.737 0.500  -0.19

VASP energy   -34.377 eV per cell
Theoretical density   9.90 g cm⁻³
Density of states at the Fermi level   3.6 states/eV/f.u.
Volume   13.10 Å³ per atom
Energy of formation from the pure elements   26 kJ/mol of formula units
Spin magnetization   5.1 Bohr magnetons per cell



Record 12
Entry from Alexandria: a geometry-optimized BaHgTeN2 structure (GGA-PBE).

abc: 4.765 4.765 5.704
angles: 90.00 90.00 90.00
Each line ends with the local moment (μB).
Atoms (fractional coordinates):
Te 0.000 0.000 0.500  0.10
N 0.500 0.000 0.000  0.96
Ba 0.500 0.500 0.500  0.00
N 0.000 0.500 0.000  0.96
Hg 0.000 0.000 0.000  -0.01

VASP energy   -17.011 eV per cell
Theoretical density   6.33 g cm⁻³
Uncorrected formation energy   1.0012 eV per atom
Density of states at the Fermi level   2.2 states/eV/f.u.
Volume   25.90 Å³ per atom
Spin magnetization   3.0 Bohr magnetons per cell



Record 13
Entry from Alexandria: a geometry-optimized Th6HgOs3S2 structure (GGA-PBE).

abc: 4.123 8.659 9.441
angles: 103.52 102.61 90.00
Atoms (fractional coordinates):
S 0.173 0.350 0.346
Th 0.002 0.283 0.004
Os 0.837 0.160 0.673
Hg 0.500 0.000 0.000
Th 0.998 0.717 0.996
Th 0.319 0.918 0.638
Os 0.163 0.840 0.327
Os 0.500 0.500 0.000
Th 0.338 0.390 0.676
S 0.827 0.650 0.654
Th 0.662 0.610 0.324
Th 0.681 0.082 0.362

VASP energy   -96.297 eV per cell
Theoretical density   11.58 g cm⁻³
Uncorrected formation energy   -0.7943 eV per atom
Density of states at the Fermi level   8.4 states/eV/f.u.
Volume   26.61 Å³ per atom
Spin magnetization   0.0 Bohr magnetons per cell



Record 14
Entry from Alexandria: a geometry-optimized Sr2SbRuN structure (GGA-PBE).

abc: 5.522 5.522 3.860
angles: 90.00 90.00 90.00
Atoms (fractional coordinates):
Sb 0.500 0.500 0.500
Ru 0.000 0.000 0.500
Sr 0.500 0.000 0.000
N 0.000 0.000 0.000
Sr 0.000 0.500 0.000

VASP energy   -27.696 eV per cell
Theoretical density   5.81 g cm⁻³
Uncorrected formation energy   -0.5218 eV per atom
Density of states at the Fermi level   2.8 states/eV/f.u.
Volume   23.54 Å³ per atom
Spin magnetization   0.0 Bohr magnetons per cell



Record 15
Entry from Alexandria: a geometry-optimized Li2H6I structure (GGA-PBE).

abc: 5.305 3.885 6.598
angles: 72.88 62.76 68.52
Atoms (fractional coordinates):
H 0.573 0.799 0.830
H 0.224 0.737 0.497
H 0.776 0.459 0.503
I 0.000 0.000 0.000
H 0.776 0.263 0.503
H 0.224 0.541 0.497
H 0.427 0.201 0.170
Li 0.506 0.322 0.850
Li 0.494 0.678 0.150

VASP energy   -26.003 eV per cell
Theoretical density   2.19 g cm⁻³
Density of states at the Fermi level   2.5 states/eV/f.u.
Volume   12.35 Å³ per atom
Spin magnetization   0.0 Bohr magnetons per cell



Record 16
Entry from Alexandria: a geometry-optimized Nd5Er2Sc structure (GGA-PBE).

abc: 9.933 6.750 10.554
angles: 117.64 118.07 90.00
Atoms (fractional coordinates):
Sc 0.500 0.500 0.500
Er 0.655 0.985 0.822
Nd 0.288 0.864 0.420
Nd 0.132 0.364 0.420
Nd 0.506 0.468 0.809
Nd 0.303 0.968 0.809
Er 0.345 0.015 0.178
Nd 0.868 0.636 0.580
Sc 0.000 0.000 0.500
Er 0.166 0.485 0.822
Nd 0.065 0.250 0.000
Nd 0.494 0.532 0.191
Nd 0.712 0.136 0.580
Er 0.834 0.515 0.178
Nd 0.697 0.032 0.191
Nd 0.935 0.750 0.000

VASP energy   -76.636 eV per cell
Theoretical density   6.88 g cm⁻³
Density of states at the Fermi level   13.3 states/eV/f.u.
Volume   33.20 Å³ per atom
Energy of formation from the pure elements   94 kJ/mol of formula units
Spin magnetization   0.0 Bohr magnetons per cell



Record 17
Entry from Alexandria: a geometry-optimized SrHf3Ge structure (GGA-PBE).

abc: 5.172 5.172 5.172
angles: 90.00 90.00 90.00
Atoms (fractional coordinates):
Hf 0.000 0.000 0.500
Hf 0.000 0.500 0.000
Hf 0.500 0.000 0.000
Sr 0.500 0.500 0.500
Ge 0.000 0.000 0.000

VASP energy   -33.988 eV per cell
Theoretical density   8.35 g cm⁻³
Density of states at the Fermi level   8.1 states/eV/f.u.
Volume   27.67 Å³ per atom
Energy of formation from the pure elements   210 kJ/mol of formula units
Spin magnetization   0.0 Bohr magnetons per cell



Record 18
Entry from Alexandria: a geometry-optimized Zr4NiOs structure (GGA-PBE).

abc: 7.221 7.221 7.221
angles: 102.84 102.84 123.75
Atoms (fractional coordinates):
Zr 0.239 0.985 0.746
Os 0.464 0.964 0.500
Zr 0.743 0.448 0.705
Ni 0.321 0.321 0.000
Zr 0.743 0.039 0.295
Zr 0.239 0.494 0.254
Zr 0.198 0.993 0.205
Zr 0.735 0.489 0.246
Os 0.714 0.714 0.000
Zr 0.789 0.993 0.795
Ni 0.071 0.571 0.500
Zr 0.244 0.489 0.754

VASP energy   -101.122 eV per cell
Theoretical density   7.38 g cm⁻³
Density of states at the Fermi level   8.0 states/eV/f.u.
Volume   23.01 Å³ per atom
Energy of formation from the pure elements   62 kJ/mol of formula units
Spin magnetization   0.0 Bohr magnetons per cell



Record 19
Entry from Alexandria: a geometry-optimized CeDy2ThBi4 structure (GGA-PBE).

abc: 4.545 7.846 7.869
angles: 70.51 90.00 90.00
Each line ends with the local moment (μB).
Atoms (fractional coordinates):
Bi 0.000 0.242 0.253  -0.01
Ce 0.500 0.500 0.000  0.90
Dy 0.000 0.000 0.000  -0.01
Dy 0.500 0.000 0.500  0.00
Th 0.000 0.500 0.500  0.01
Bi 0.500 0.759 0.247  -0.01
Bi 0.500 0.241 0.753  -0.01
Bi 0.000 0.758 0.747  -0.01

VASP energy   -44.316 eV per cell
Theoretical density   9.62 g cm⁻³
Density of states at the Fermi level   9.1 states/eV/f.u.
Volume   33.07 Å³ per atom
Energy of formation from the pure elements   -602 kJ/mol of formula units
Spin magnetization   1.0 Bohr magnetons per cell



Record 20
Entry from Alexandria: a geometry-optimized Tl2RuPb structure (GGA-PBE).

abc: 7.741 7.741 4.580
angles: 72.67 72.67 23.68
Atoms (fractional coordinates):
Pb 0.250 0.250 0.250
Ru 0.750 0.750 0.750
Tl 0.071 0.071 0.930
Tl 0.429 0.429 0.570

VASP energy   -16.469 eV per cell
Theoretical density   11.34 g cm⁻³
Density of states at the Fermi level   2.2 states/eV/f.u.
Volume   26.25 Å³ per atom
Energy of formation from the pure elements   120 kJ/mol of formula units
Spin magnetization   0.0 Bohr magnetons per cell



Record 21
Entry from Alexandria: a geometry-optimized AcPmSmTe3 structure (GGA-PBE).

abc: 4.489 8.851 11.083
angles: 107.05 90.00 90.00
Each line ends with the local moment (μB).
Atoms (fractional coordinates):
Ac 0.250 0.189 0.221  0.01
Pm 0.750 0.345 0.900  0.12
Sm 0.250 0.150 0.621  0.15
Sm 0.750 0.850 0.379  0.15
Te 0.250 0.773 0.544  0.00
Te 0.250 0.096 0.895  0.00
Te 0.750 0.227 0.456  0.00
Te 0.250 0.523 0.796  0.00
Te 0.750 0.477 0.204  0.00
Ac 0.750 0.811 0.779  0.01
Pm 0.250 0.655 0.100  0.12
Te 0.750 0.904 0.105  0.00

VASP energy   -61.799 eV per cell
Theoretical density   7.14 g cm⁻³
Uncorrected formation energy   -1.3161 eV per atom
Density of states at the Fermi level   4.0 states/eV/f.u.
Volume   35.08 Å³ per atom
Spin magnetization   1.3 Bohr magnetons per cell



Record 22
Entry from Alexandria: a geometry-optimized Dy4HoEr2Tm2 structure (GGA-PBE).

abc: 3.546 9.381 9.408
angles: 115.29 90.00 100.89
Atoms (fractional coordinates):
Dy 0.482 0.963 0.666
Er 0.148 0.297 0.667
Er 0.852 0.703 0.333
Ho 0.000 0.000 0.000
Dy 0.185 0.371 0.333
Tm 0.333 0.666 0.001
Dy 0.518 0.037 0.334
Dy 0.815 0.629 0.667
Tm 0.667 0.334 0.999

VASP energy   -41.023 eV per cell
Theoretical density   8.92 g cm⁻³
Density of states at the Fermi level   12.1 states/eV/f.u.
Volume   30.75 Å³ per atom
Energy of formation from the pure elements   3 kJ/mol of formula units
Spin magnetization   0.0 Bohr magnetons per cell



Record 23
Entry from Alexandria: a geometry-optimized Tb5Tl2Se2 structure (GGA-PBE).

abc: 8.032 8.021 8.518
angles: 118.09 90.00 90.00
Atoms (fractional coordinates):
Tb 0.664 0.039 0.744
Tb 0.000 0.000 0.000
Se 0.855 0.359 0.000
Tl 0.500 0.709 0.417
Tl 0.500 0.291 0.583
Tb 0.500 0.500 0.000
Tl 0.000 0.209 0.417
Tb 0.336 0.961 0.256
Tb 0.164 0.206 0.744
Tb 0.336 0.706 0.744
Se 0.645 0.859 0.000
Tb 0.836 0.539 0.744
Tb 0.664 0.294 0.256
Se 0.145 0.641 0.000
Tl 0.000 0.791 0.583
Tb 0.836 0.794 0.256
Tb 0.164 0.461 0.256
Se 0.355 0.141 0.000

VASP energy   -84.612 eV per cell
Theoretical density   9.34 g cm⁻³
Uncorrected formation energy   -0.8281 eV per atom
Density of states at the Fermi level   7.1 states/eV/f.u.
Volume   26.89 Å³ per atom
Spin magnetization   0.0 Bohr magnetons per cell